Record 1
First-principles (PBE) data for a geometry-optimized Y2PtN structure, as listed in the Alexandria database.

a = 7.1040 Å, b = 7.1040 Å, c = 7.1040 Å
α = 29.27°, β = 29.27°, γ = 29.27°
Sites, in units of the cell vectors:
Y  0.2340  0.2340  0.2340
Y  0.7660  0.7660  0.7660
Pt  0.0000  0.0000  0.0000
N  0.5000  0.5000  0.5000

E_form (uncorrected): -1.207 eV per atom
Calculated volume: 18.96 A^3/atom
Fermi-level density of states: 0.586 states/eV per atom
Energy: -8.031 eV per atom

---

Record 2
First-principles (PBE) data for a geometry-optimized Y3PtN structure, as listed in the Alexandria database.

a = 4.7199 Å, b = 4.7199 Å, c = 4.7199 Å
α = 90.00°, β = 90.00°, γ = 90.00°
Sites, in units of the cell vectors:
Y  0.0000  0.0000  0.5000
Y  0.0000  0.5000  0.0000
Y  0.5000  0.0000  0.0000
Pt  0.5000  0.5000  0.5000
N  0.0000  0.0000  0.0000

E_form (uncorrected): -1.052 eV per atom
Calculated volume: 21.03 A^3/atom
Fermi-level density of states: 1.183 states/eV per atom
Energy: -7.804 eV per atom

---

Values of total magnetization, in order: 0.00; 0.00, all in μB/f.u..